(1)
VASP calculation (GGA-PBE) on a relaxed structure of Tb4Pm8Tm.

Unit cell a=10.454 b=10.454 c=10.454 alpha=40.82 beta=40.82 gamma=40.82
Positions (direct):
Tb1 0.000 0.000 0.000
Tb2 0.000 0.500 0.500
Tb3 0.500 0.000 0.500
Tb4 0.500 0.500 0.000
Pm1 0.205 0.751 0.751
Pm2 0.212 0.212 0.212
Pm3 0.249 0.249 0.795
Pm4 0.249 0.795 0.249
Pm5 0.751 0.205 0.751
Pm6 0.751 0.751 0.205
Pm7 0.788 0.788 0.788
Pm8 0.795 0.249 0.249
Tm1 0.500 0.500 0.500

SG = R-3m
energy relative to the elements = 0.195 eV/atom
total moment = 0.0 μB/cell

***

(2)
VASP calculation (GGA-PBE) on a relaxed structure of Co2MoRh.

Unit cell a=2.692 b=3.612 c=5.320 alpha=90.00 beta=90.00 gamma=90.00
Positions (direct):
Co1 0.000 0.000 0.000
Co2 0.500 0.500 0.206
Mo1 0.000 0.000 0.459
Rh1 0.500 0.500 0.732

SG = Pmm2
energy relative to the elements = -0.002 eV/atom
total moment = 2.3 μB/cell
energy above the lowest structure with this stoichiometry = 3.6 kJ per mole of atoms

***

(3)
VASP calculation (GGA-PBE) on a relaxed structure of ZrScTlRh.

Unit cell a=3.174 b=3.174 c=8.060 alpha=90.00 beta=90.00 gamma=90.00
Positions (direct):
Zr1 0.000 0.000 0.000
Sc1 0.000 0.000 0.574
Tl1 0.500 0.500 0.286
Rh1 0.500 0.500 0.775

SG = P4mm
energy relative to the elements = -0.494 eV/atom
total moment = 0.0 μB/cell
energy above the lowest structure with this stoichiometry = 0.0 kJ per mole of atoms

***

(4)
VASP calculation (GGA-PBE) on a relaxed structure of V3SnS.

Unit cell a=4.329 b=4.329 c=4.329 alpha=90.00 beta=90.00 gamma=90.00
Positions (direct):
V1 0.000 0.000 0.500
V2 0.000 0.500 0.000
V3 0.500 0.000 0.000
Sn1 0.500 0.500 0.500
S1 0.000 0.000 0.000

SG = Pm-3m
uncorrected formation energy = -0.057 eV/atom
total moment = 1.1 μB/cell
energy above the lowest structure with this stoichiometry = 0.0 kJ per mole of atoms

***

(5)
VASP calculation (GGA-PBE) on a relaxed structure of KZr3In.

Unit cell a=4.975 b=4.975 c=4.975 alpha=90.00 beta=90.00 gamma=90.00
Positions (direct):
K1 0.000 0.000 0.000
Zr1 0.000 0.000 0.500
Zr2 0.000 0.500 0.000
Zr3 0.500 0.000 0.000
In1 0.500 0.500 0.500

SG = Pm-3m
energy relative to the elements = 1.735 eV/atom
total moment = 2.1 μB/cell
energy above the lowest structure with this stoichiometry = 55.5 kJ per mole of atoms

***

(6)
VASP calculation (GGA-PBE) on a relaxed structure of SrCa3Au.

Unit cell a=7.101 b=7.101 c=14.050 alpha=111.64 beta=111.64 gamma=34.38
Positions (direct):
Sr1 0.000 0.000 0.000
Sr2 0.122 0.122 0.293
Ca1 0.316 0.316 0.759
Ca2 0.340 0.340 0.148
Ca3 0.656 0.656 0.536
Ca4 0.682 0.682 0.907
Ca5 0.878 0.878 0.393
Ca6 0.993 0.993 0.670
Au1 0.325 0.325 0.534
Au2 0.680 0.680 0.144

SG = Cm
energy relative to the elements = -0.359 eV/atom
total moment = 0.0 μB/cell
energy above the lowest structure with this stoichiometry = 0.0 kJ per mole of atoms

***

(7)
VASP calculation (GGA-PBE) on a relaxed structure of CeHo3Th2As6.

Unit cell a=9.325 b=9.325 c=8.325 alpha=102.60 beta=102.60 gamma=25.93
Positions (direct):
Ce1 0.000 0.000 0.000
Ho1 0.000 0.000 0.500
Ho2 0.334 0.334 0.166
Ho3 0.666 0.666 0.834
Th1 0.334 0.334 0.668
Th2 0.666 0.666 0.332
As1 0.165 0.165 0.589
As2 0.168 0.168 0.078
As3 0.498 0.498 0.254
As4 0.502 0.502 0.746
As5 0.832 0.832 0.922
As6 0.835 0.835 0.411

SG = C2/m
energy relative to the elements = -1.474 eV/atom
total moment = 0.8 μB/cell

***

(8)
VASP calculation (GGA-PBE) on a relaxed structure of DyGa4Au.

Unit cell a=5.482 b=5.482 c=5.482 alpha=60.00 beta=60.00 gamma=60.00
Positions (direct):
Dy1 0.000 0.000 0.000
Ga1 0.375 0.375 0.375
Ga2 0.375 0.375 0.876
Ga3 0.375 0.876 0.375
Ga4 0.876 0.375 0.375
Au1 0.750 0.750 0.750

SG = F-43m
energy relative to the elements = -0.239 eV/atom
total moment = 0.0 μB/cell

***

(9)
VASP calculation (GGA-PBE) on a relaxed structure of BeAg2Te.

Unit cell a=9.497 b=9.497 c=9.497 alpha=18.62 beta=18.62 gamma=18.62
Positions (direct):
Be1 0.000 0.000 0.000
Ag1 0.271 0.271 0.271
Ag2 0.729 0.729 0.729
Te1 0.500 0.500 0.500

SG = R-3m
uncorrected formation energy = 0.329 eV/atom
total moment = 0.0 μB/cell
energy above the lowest structure with this stoichiometry = 18.4 kJ per mole of atoms

***

(10)
VASP calculation (GGA-PBE) on a relaxed structure of MnHgI3.

Unit cell a=7.812 b=7.925 c=8.502 alpha=64.96 beta=76.57 gamma=85.81
Positions (direct):
Mn1 0.000 0.000 0.000
Mn2 0.381 0.722 0.039
Hg1 0.190 0.029 0.549
Hg2 0.472 0.838 0.475
I1 0.043 0.636 0.053
I2 0.345 0.094 0.955
I3 0.473 0.544 0.356
I4 0.612 0.632 0.803
I5 0.801 0.071 0.264
I6 0.905 0.207 0.687

SG = P1
uncorrected formation energy = -0.346 eV/atom
total moment = 10.0 μB/cell
energy above the lowest structure with this stoichiometry = 0.0 kJ per mole of atoms

***

(11)
VASP calculation (GGA-PBE) on a relaxed structure of MnReNi2H.

Unit cell a=3.558 b=3.558 c=3.873 alpha=90.00 beta=90.00 gamma=90.00
Positions (direct):
Mn1 0.000 0.000 0.000
Re1 0.500 0.500 0.000
Ni1 0.000 0.500 0.500
Ni2 0.500 0.000 0.500
H1 0.000 0.000 0.500

SG = P4/mmm
total moment = 0.0 μB/cell
energy above the lowest structure with this stoichiometry = 0.0 kJ per mole of atoms

***

(12)
VASP calculation (GGA-PBE) on a relaxed structure of LaCeHo2.

Unit cell a=3.577 b=3.577 c=10.021 alpha=90.00 beta=90.00 gamma=90.00
Positions (direct):
La1 0.000 0.000 0.000
Ce1 0.000 0.000 0.500
Ho1 0.500 0.500 0.263
Ho2 0.500 0.500 0.737

SG = P4/mmm
energy relative to the elements = 0.063 eV/atom
total moment = 0.6 μB/cell
energy above the lowest structure with this stoichiometry = 0.1 kJ per mole of atoms